## one
Below is a relaxed structure of YScSb2, with properties calculated at the PBE level.

Output
The crystal system is trigonal.

Cell and atoms, written as CIF:
```
data_YScSb2
_chemical_formula_sum 'Y1 Sc1 Sb2'
_space_group_name_H-M_alt 'P 1'
_space_group_IT_number 1
_cell_length_a 4.2594
_cell_length_b 4.2594
_cell_length_c 7.2349
_cell_angle_alpha 90.00
_cell_angle_beta 90.00
_cell_angle_gamma 120.00
loop_
_space_group_symop_operation_xyz
'x,y,z'
loop_
_atom_site_label
_atom_site_type_symbol
_atom_site_fract_x
_atom_site_fract_y
_atom_site_fract_z
_atom_site_occupancy
Y1 Y 0.0000 0.0000 0.0000 1
Sc1 Sc 0.0000 0.0000 0.5000 1
Sb1 Sb 0.3333 0.6667 0.7345 1
Sb2 Sb 0.6667 0.3333 0.2655 1
```

## two
Below is a relaxed structure of YScSb2, with properties calculated at the PBE level.

Output
The crystal system is tetragonal.

Cell and atoms, written as CIF:
```
data_YScSb2
_chemical_formula_sum 'Y1 Sc1 Sb2'
_space_group_name_H-M_alt 'P 1'
_space_group_IT_number 1
_cell_length_a 4.2875
_cell_length_b 4.2875
_cell_length_c 6.0621
_cell_angle_alpha 90.00
_cell_angle_beta 90.00
_cell_angle_gamma 90.00
loop_
_space_group_symop_operation_xyz
'x,y,z'
loop_
_atom_site_label
_atom_site_type_symbol
_atom_site_fract_x
_atom_site_fract_y
_atom_site_fract_z
_atom_site_occupancy
Y1 Y 0.0000 0.0000 0.0000 1
Sc1 Sc 0.5000 0.5000 0.5000 1
Sb1 Sb 0.0000 0.0000 0.5000 1
Sb2 Sb 0.5000 0.5000 0.0000 1
```

## three
Below is a relaxed structure of YScSb2, with properties calculated at the PBE level.

Output
The crystal system is trigonal.

Cell and atoms, written as CIF:
```
data_YScSb2
_chemical_formula_sum 'Y1 Sc1 Sb2'
_space_group_name_H-M_alt 'P 1'
_space_group_IT_number 1
_cell_length_a 7.3833
_cell_length_b 7.3833
_cell_length_c 7.3833
_cell_angle_alpha 33.75
_cell_angle_beta 33.75
_cell_angle_gamma 33.75
loop_
_space_group_symop_operation_xyz
'x,y,z'
loop_
_atom_site_label
_atom_site_type_symbol
_atom_site_fract_x
_atom_site_fract_y
_atom_site_fract_z
_atom_site_occupancy
Y1 Y 0.0000 0.0000 0.0000 1
Sc1 Sc 0.5000 0.5000 0.5000 1
Sb1 Sb 0.2448 0.2448 0.2448 1
Sb2 Sb 0.7552 0.7552 0.7552 1
```

## four
Below is a relaxed structure of YScSb2, with properties calculated at the PBE level.

Output
The crystal system is trigonal.

Cell and atoms, written as CIF:
```
data_YScSb2
_chemical_formula_sum 'Y1 Sc1 Sb2'
_space_group_name_H-M_alt 'P 1'
_space_group_IT_number 1
_cell_length_a 7.6451
_cell_length_b 7.6451
_cell_length_c 7.6451
_cell_angle_alpha 32.32
_cell_angle_beta 32.32
_cell_angle_gamma 32.32
loop_
_space_group_symop_operation_xyz
'x,y,z'
loop_
_atom_site_label
_atom_site_type_symbol
_atom_site_fract_x
_atom_site_fract_y
_atom_site_fract_z
_atom_site_occupancy
Y1 Y 0.0000 0.0000 0.0000 1
Sc1 Sc 0.8296 0.8296 0.8296 1
Sb1 Sb 0.4178 0.4178 0.4178 1
Sb2 Sb 0.5784 0.5784 0.5784 1
```

three has the most favorable energy; the next structure is 2.3 kJ/mol of atoms above.

## one
Below is a relaxed structure of YScSb2, with properties calculated at the PBE level.

Output
The crystal system is orthorhombic.

Cell and atoms, written as CIF:
```
data_YScSb2
_chemical_formula_sum 'Y2 Sc2 Sb4'
_space_group_name_H-M_alt 'P 1'
_space_group_IT_number 1
_cell_length_a 4.2750
_cell_length_b 6.0748
_cell_length_c 8.5457
_cell_angle_alpha 90.00
_cell_angle_beta 90.00
_cell_angle_gamma 90.00
loop_
_space_group_symop_operation_xyz
'x,y,z'
loop_
_atom_site_label
_atom_site_type_symbol
_atom_site_fract_x
_atom_site_fract_y
_atom_site_fract_z
_atom_site_occupancy
Y1 Y 0.2500 0.2500 0.1270 1
Y2 Y 0.7500 0.7500 0.8730 1
Sc1 Sc 0.2500 0.2500 0.6243 1
Sc2 Sc 0.7500 0.7500 0.3757 1
Sb1 Sb 0.2500 0.7500 0.1357 1
Sb2 Sb 0.2500 0.7500 0.6132 1
Sb3 Sb 0.7500 0.2500 0.3868 1
Sb4 Sb 0.7500 0.2500 0.8643 1
```

## two
Below is a relaxed structure of YScSb2, with properties calculated at the PBE level.

Output
The crystal system is orthorhombic.

Cell and atoms, written as CIF:
```
data_YScSb2
_chemical_formula_sum 'Y1 Sc1 Sb2'
_space_group_name_H-M_alt 'P 1'
_space_group_IT_number 1
_cell_length_a 5.1140
_cell_length_b 5.1140
_cell_length_c 3.9373
_cell_angle_alpha 90.00
_cell_angle_beta 90.00
_cell_angle_gamma 100.13
loop_
_space_group_symop_operation_xyz
'x,y,z'
loop_
_atom_site_label
_atom_site_type_symbol
_atom_site_fract_x
_atom_site_fract_y
_atom_site_fract_z
_atom_site_occupancy
Y1 Y 0.0000 0.0000 0.0000 1
Sc1 Sc 0.5000 0.5000 0.0000 1
Sb1 Sb 0.0000 0.5000 0.5000 1
Sb2 Sb 0.5000 0.0000 0.5000 1
```

## three
Below is a relaxed structure of YScSb2, with properties calculated at the PBE level.

Output
The crystal system is orthorhombic.

Cell and atoms, written as CIF:
```
data_YScSb2
_chemical_formula_sum 'Y1 Sc1 Sb2'
_space_group_name_H-M_alt 'P 1'
_space_group_IT_number 1
_cell_length_a 6.2017
_cell_length_b 6.2017
_cell_length_c 6.2017
_cell_angle_alpha 139.37
_cell_angle_beta 138.74
_cell_angle_gamma 59.29
loop_
_space_group_symop_operation_xyz
'x,y,z'
loop_
_atom_site_label
_atom_site_type_symbol
_atom_site_fract_x
_atom_site_fract_y
_atom_site_fract_z
_atom_site_occupancy
Y1 Y 0.0000 0.0000 0.0000 1
Sc1 Sc 0.2520 0.7520 0.5000 1
Sb1 Sb 0.4932 0.4932 0.0000 1
Sb2 Sb 0.7459 0.2459 0.5000 1
```

one has the most favorable energy; the next structure is 25.8 kJ/mol of atoms above.

## one
Below is a relaxed structure of YScSb2, with properties calculated at the PBE level.

Output
The crystal system is monoclinic.

Cell and atoms, written as CIF:
```
data_YScSb2
_chemical_formula_sum 'Y1 Sc1 Sb2'
_space_group_name_H-M_alt 'P 1'
_space_group_IT_number 1
_cell_length_a 5.3773
_cell_length_b 5.3773
_cell_length_c 3.7436
_cell_angle_alpha 99.39
_cell_angle_beta 99.39
_cell_angle_gamma 95.70
loop_
_space_group_symop_operation_xyz
'x,y,z'
loop_
_atom_site_label
_atom_site_type_symbol
_atom_site_fract_x
_atom_site_fract_y
_atom_site_fract_z
_atom_site_occupancy
Y1 Y 0.0000 0.0000 0.0000 1
Sc1 Sc 0.5000 0.5000 0.0000 1
Sb1 Sb 0.0000 0.5000 0.5000 1
Sb2 Sb 0.5000 0.0000 0.5000 1
```

## two
Below is a relaxed structure of YScSb2, with properties calculated at the PBE level.

Output
The crystal system is orthorhombic.

Cell and atoms, written as CIF:
```
data_YScSb2
_chemical_formula_sum 'Y1 Sc1 Sb2'
_space_group_name_H-M_alt 'P 1'
_space_group_IT_number 1
_cell_length_a 3.2742
_cell_length_b 3.9251
_cell_length_c 7.8743
_cell_angle_alpha 90.00
_cell_angle_beta 90.00
_cell_angle_gamma 90.00
loop_
_space_group_symop_operation_xyz
'x,y,z'
loop_
_atom_site_label
_atom_site_type_symbol
_atom_site_fract_x
_atom_site_fract_y
_atom_site_fract_z
_atom_site_occupancy
Y1 Y 0.0000 0.0000 0.0000 1
Sc1 Sc 0.0000 0.0000 0.5000 1
Sb1 Sb 0.5000 0.5000 0.2623 1
Sb2 Sb 0.5000 0.5000 0.7377 1
```

## three
Below is a relaxed structure of YScSb2, with properties calculated at the PBE level.

Output
The crystal system is orthorhombic.

Cell and atoms, written as CIF:
```
data_YScSb2
_chemical_formula_sum 'Y1 Sc1 Sb2'
_space_group_name_H-M_alt 'P 1'
_space_group_IT_number 1
_cell_length_a 5.4274
_cell_length_b 5.4274
_cell_length_c 5.4274
_cell_angle_alpha 131.14
_cell_angle_beta 114.82
_cell_angle_gamma 85.55
loop_
_space_group_symop_operation_xyz
'x,y,z'
loop_
_atom_site_label
_atom_site_type_symbol
_atom_site_fract_x
_atom_site_fract_y
_atom_site_fract_z
_atom_site_occupancy
Y1 Y 0.0000 0.0000 0.0000 1
Sc1 Sc 0.5000 0.5000 0.0000 1
Sb1 Sb 0.2608 0.7608 0.5000 1
Sb2 Sb 0.7392 0.2392 0.5000 1
```

three has the most favorable energy; the next structure is 1.9 kJ/mol of atoms above.

## one
Below is a relaxed structure of YScSb2, with properties calculated at the PBE level.

Output
The crystal system is trigonal.

Cell and atoms, written as CIF:
```
data_YScSb2
_chemical_formula_sum 'Y1 Sc1 Sb2'
_space_group_name_H-M_alt 'P 1'
_space_group_IT_number 1
_cell_length_a 11.2484
_cell_length_b 11.2484
_cell_length_c 11.2484
_cell_angle_alpha 17.51
_cell_angle_beta 17.51
_cell_angle_gamma 17.51
loop_
_space_group_symop_operation_xyz
'x,y,z'
loop_
_atom_site_label
_atom_site_type_symbol
_atom_site_fract_x
_atom_site_fract_y
_atom_site_fract_z
_atom_site_occupancy
Y1 Y 0.0000 0.0000 0.0000 1
Sc1 Sc 0.2484 0.2484 0.2484 1
Sb1 Sb 0.5104 0.5104 0.5104 1
Sb2 Sb 0.7436 0.7436 0.7436 1
```

## two
Below is a relaxed structure of YScSb2, with properties calculated at the PBE level.

Output
The crystal system is tetragonal.

Cell and atoms, written as CIF:
```
data_YScSb2
_chemical_formula_sum 'Y1 Sc1 Sb2'
_space_group_name_H-M_alt 'P 1'
_space_group_IT_number 1
_cell_length_a 3.3393
_cell_length_b 3.3393
_cell_length_c 10.2036
_cell_angle_alpha 90.00
_cell_angle_beta 90.00
_cell_angle_gamma 90.00
loop_
_space_group_symop_operation_xyz
'x,y,z'
loop_
_atom_site_label
_atom_site_type_symbol
_atom_site_fract_x
_atom_site_fract_y
_atom_site_fract_z
_atom_site_occupancy
Y1 Y 0.0000 0.0000 0.0000 1
Sc1 Sc 0.5000 0.5000 0.7365 1
Sb1 Sb 0.0000 0.0000 0.5409 1
Sb2 Sb 0.5000 0.5000 0.2200 1
```

two has the most favorable energy; the next structure is 14.3 kJ/mol of atoms above.

## one
Below is a relaxed structure of YScSb2, with properties calculated at the PBE level.

Output
The crystal system is tetragonal.

Cell and atoms, written as CIF:
```
data_YScSb2
_chemical_formula_sum 'Y2 Sc2 Sb4'
_space_group_name_H-M_alt 'P 1'
_space_group_IT_number 1
_cell_length_a 8.3434
_cell_length_b 8.3434
_cell_length_c 8.3434
_cell_angle_alpha 132.36
_cell_angle_beta 132.36
_cell_angle_gamma 69.67
loop_
_space_group_symop_operation_xyz
'x,y,z'
loop_
_atom_site_label
_atom_site_type_symbol
_atom_site_fract_x
_atom_site_fract_y
_atom_site_fract_z
_atom_site_occupancy
Y1 Y 0.0000 0.0000 0.0000 1
Y2 Y 0.7500 0.2500 0.5000 1
Sc1 Sc 0.2500 0.7500 0.5000 1
Sc2 Sc 0.5000 0.5000 0.0000 1
Sb1 Sb 0.1459 0.6250 0.0209 1
Sb2 Sb 0.3750 0.3959 0.5209 1
Sb3 Sb 0.6041 0.1250 0.9791 1
Sb4 Sb 0.8750 0.8541 0.4791 1
```

## two
Below is a relaxed structure of YScSb2, with properties calculated at the PBE level.

Output
The crystal system is cubic.

Cell and atoms, written as CIF:
```
data_YScSb2
_chemical_formula_sum 'Y1 Sc1 Sb2'
_space_group_name_H-M_alt 'P 1'
_space_group_IT_number 1
_cell_length_a 5.2608
_cell_length_b 5.2608
_cell_length_c 5.2608
_cell_angle_alpha 60.00
_cell_angle_beta 60.00
_cell_angle_gamma 60.00
loop_
_space_group_symop_operation_xyz
'x,y,z'
loop_
_atom_site_label
_atom_site_type_symbol
_atom_site_fract_x
_atom_site_fract_y
_atom_site_fract_z
_atom_site_occupancy
Y1 Y 0.0000 0.0000 0.0000 1
Sc1 Sc 0.5000 0.5000 0.5000 1
Sb1 Sb 0.2500 0.2500 0.2500 1
Sb2 Sb 0.7500 0.7500 0.7500 1
```

two has the most favorable energy; the next structure is 15.7 kJ/mol of atoms above.

## one
Below is a relaxed structure of YScSb2, with properties calculated at the PBE level.

Output
The crystal system is tetragonal.

Cell and atoms, written as CIF:
```
data_YScSb2
_chemical_formula_sum 'Y1 Sc1 Sb2'
_space_group_name_H-M_alt 'P 1'
_space_group_IT_number 1
_cell_length_a 5.1222
_cell_length_b 5.1222
_cell_length_c 5.1222
_cell_angle_alpha 114.47
_cell_angle_beta 114.47
_cell_angle_gamma 99.88
loop_
_space_group_symop_operation_xyz
'x,y,z'
loop_
_atom_site_label
_atom_site_type_symbol
_atom_site_fract_x
_atom_site_fract_y
_atom_site_fract_z
_atom_site_occupancy
Y1 Y 0.0000 0.0000 0.0000 1
Sc1 Sc 0.5000 0.5000 0.0000 1
Sb1 Sb 0.2500 0.7500 0.5000 1
Sb2 Sb 0.7500 0.2500 0.5000 1
```

## two
Below is a relaxed structure of YScSb2, with properties calculated at the PBE level.

Output
The crystal system is orthorhombic.

Cell and atoms, written as CIF:
```
data_YScSb2
_chemical_formula_sum 'Y1 Sc1 Sb2'
_space_group_name_H-M_alt 'P 1'
_space_group_IT_number 1
_cell_length_a 4.5331
_cell_length_b 6.1546
_cell_length_c 6.1546
_cell_angle_alpha 38.65
_cell_angle_beta 90.00
_cell_angle_gamma 90.00
loop_
_space_group_symop_operation_xyz
'x,y,z'
loop_
_atom_site_label
_atom_site_type_symbol
_atom_site_fract_x
_atom_site_fract_y
_atom_site_fract_z
_atom_site_occupancy
Y1 Y 0.0000 0.0000 0.0000 1
Sc1 Sc 0.5000 0.7577 0.7577 1
Sb1 Sb 0.0000 0.2674 0.2674 1
Sb2 Sb 0.5000 0.5062 0.5062 1
```

two has the most favorable energy; the next structure is 12.5 kJ/mol of atoms above.